{"formula": "KEuSnWO6", "functional": "PBE+U", "state": "optimized geometry", "cell": [[6.0075, 0.0000, 0.0000], [0.0000, 6.0075, 0.0000], [0.0000, 0.0000, 8.4593]], "species": ["Sn", "Sn", "Eu", "Eu", "K", "K", "O", "O", "O", "O", "O", "O", "O", "O", "O", "O", "O", "O", "W", "W"], "fractional_positions": [[0.5000, 0.5000, 0.2500], [0.5000, 0.5000, 0.7500], [0.5000, 0.0000, 0.5000], [0.0000, 0.5000, 0.0000], [0.0000, 0.0000, 0.2500], [0.0000, 0.0000, 0.7500], [0.2373, 0.2774, 0.5000], [0.7226, 0.7627, 0.0000], [0.0000, 0.5000, 0.7297], [0.2774, 0.2373, 0.0000], [0.2373, 0.7226, 0.5000], [0.7226, 0.2373, 0.0000], [0.7627, 0.2774, 0.5000], [0.7627, 0.7226, 0.5000], [0.0000, 0.5000, 0.2703], [0.5000, 0.0000, 0.7703], [0.5000, 0.0000, 0.2297], [0.2774, 0.7627, 0.0000], [0.0000, 0.5000, 0.5000], [0.5000, 0.0000, 0.0000]], "total_energy_ev_per_atom": -7.188, "mass_density_g_cm3": 6.4}